# YScW2

An optimized crystal structure of YScW2 (PBE, the Alexandria database).

Total DFT energy (no corrections), eV/cell: -73.004
Energy relative to the elements, meV per atom: 550
E above lowest polymorph, meV/atom: 372

Geometry as CIF:
```
data_YScW2
_chemical_formula_sum 'Y2 Sc2 W4'
_cell_length_a 5.6821
_cell_length_b 9.7677
_cell_length_c 2.8411
_cell_angle_alpha 90.00
_cell_angle_beta 90.00
_cell_angle_gamma 90.00
_space_group_name_H-M_alt 'C m m m'
_space_group_IT_number 65
_space_group_name_Hall '-C 2 2'
loop_
_atom_site_label
_atom_site_type_symbol
_atom_site_fract_x
_atom_site_fract_y
_atom_site_fract_z
_atom_site_occupancy
Y1 Y 0.0000 0.0000 0.0000 1
Sc1 Sc 0.0000 0.5000 0.0000 1
W1 W 0.2500 0.2500 0.5000 1
```

---

# Y3ScW

An optimized crystal structure of Y3ScW (PBE, the Alexandria database).

Total DFT energy (no corrections), eV/cell: -35.493
Energy relative to the elements, meV per atom: 637
E above lowest polymorph, meV/atom: 0

Geometry as CIF:
```
data_Y3ScW
_chemical_formula_sum 'Y3 Sc1 W1'
_cell_length_a 5.4289
_cell_length_b 5.4289
_cell_length_c 5.4289
_cell_angle_alpha 90.00
_cell_angle_beta 90.00
_cell_angle_gamma 90.00
_space_group_name_H-M_alt 'P m -3 m'
_space_group_IT_number 221
_space_group_name_Hall '-P 4 2 3'
loop_
_atom_site_label
_atom_site_type_symbol
_atom_site_fract_x
_atom_site_fract_y
_atom_site_fract_z
_atom_site_occupancy
Y1 Y 0.0000 0.0000 0.5000 1
Sc1 Sc 0.5000 0.5000 0.5000 1
W1 W 0.0000 0.0000 0.0000 1
```

---

# YScW

An optimized crystal structure of YScW (PBE, the Alexandria database).

Total DFT energy (no corrections), eV/cell: -92.385
Energy relative to the elements, meV per atom: 884
E above lowest polymorph, meV/atom: 590

Geometry as CIF:
```
data_YScW
_chemical_formula_sum 'Y4 Sc4 W4'
_cell_length_a 6.7304
_cell_length_b 6.7304
_cell_length_c 6.7304
_cell_angle_alpha 90.00
_cell_angle_beta 90.00
_cell_angle_gamma 90.00
_space_group_name_H-M_alt 'F -4 3 m'
_space_group_IT_number 216
_space_group_name_Hall 'F -4 2 3'
loop_
_atom_site_label
_atom_site_type_symbol
_atom_site_fract_x
_atom_site_fract_y
_atom_site_fract_z
_atom_site_occupancy
Y1 Y 0.0000 0.0000 0.0000 1
Sc1 Sc 0.0000 0.0000 0.5000 1
W1 W 0.2500 0.2500 0.7500 1
```

---

# YScW2

An optimized crystal structure of YScW2 (PBE, the Alexandria database).

Total DFT energy (no corrections), eV/cell: -36.584
Energy relative to the elements, meV per atom: 530
E above lowest polymorph, meV/atom: 351

Geometry as CIF:
```
data_YScW2
_chemical_formula_sum 'Y1 Sc1 W2'
_cell_length_a 3.4403
_cell_length_b 4.6145
_cell_length_c 4.9149
_cell_angle_alpha 90.00
_cell_angle_beta 90.00
_cell_angle_gamma 90.00
_space_group_name_H-M_alt 'P m m m'
_space_group_IT_number 47
loop_
_space_group_symop_operation_xyz
'x,y,z'
'-x,-y,-z'
'-x,-y,z'
'x,y,-z'
'x,-y,-z'
'-x,y,z'
'-x,y,-z'
'x,-y,z'
loop_
_atom_site_label
_atom_site_type_symbol
_atom_site_fract_x
_atom_site_fract_y
_atom_site_fract_z
_atom_site_occupancy
Y1 Y 0.0000 0.0000 0.0000 1
Sc1 Sc 0.5000 0.5000 0.0000 1
W1 W 0.0000 0.5000 0.5000 1
W2 W 0.5000 0.0000 0.5000 1
```

---

# YScW2

An optimized crystal structure of YScW2 (PBE, the Alexandria database).

Total DFT energy (no corrections), eV/cell: -108.177
Energy relative to the elements, meV per atom: 661
E above lowest polymorph, meV/atom: 482

Geometry as CIF:
```
data_YScW2
_chemical_formula_sum 'Y3 Sc3 W6'
_cell_length_a 3.0082
_cell_length_b 3.0082
_cell_length_c 30.2948
_cell_angle_alpha 90.00
_cell_angle_beta 90.00
_cell_angle_gamma 120.00
_space_group_name_H-M_alt 'R -3 m'
_space_group_IT_number 166
_space_group_name_Hall '-R 3 2"'
loop_
_atom_site_label
_atom_site_type_symbol
_atom_site_fract_x
_atom_site_fract_y
_atom_site_fract_z
_atom_site_occupancy
Y1 Y 0.0000 0.0000 0.0000 1
Sc1 Sc 0.0000 0.0000 0.5000 1
W1 W 0.0000 0.0000 0.2461 1
```

---

# YScW

An optimized crystal structure of YScW (PBE, the Alexandria database).

Total DFT energy (no corrections), eV/cell: -99.323
Energy relative to the elements, meV per atom: 306
E above lowest polymorph, meV/atom: 12

Geometry as CIF:
```
data_YScW
_chemical_formula_sum 'Y4 Sc4 W4'
_cell_length_a 10.4628
_cell_length_b 5.1590
_cell_length_c 6.2721
_cell_angle_alpha 90.00
_cell_angle_beta 126.06
_cell_angle_gamma 90.00
_space_group_name_H-M_alt 'C 1 2 1'
_space_group_IT_number 5
loop_
_space_group_symop_operation_xyz
'x,y,z'
'-x,y,-z'
'x+1/2,y+1/2,z'
'-x+1/2,y+1/2,-z'
loop_
_atom_site_label
_atom_site_type_symbol
_atom_site_fract_x
_atom_site_fract_y
_atom_site_fract_z
_atom_site_occupancy
Y1 Y 0.1280 0.0000 0.3686 1
Sc1 Sc 0.0000 0.5016 0.5000 1
Sc2 Sc 0.0000 0.5060 0.0000 1
W1 W 0.2218 0.8404 0.9537 1
```

---

# YScW2

An optimized crystal structure of YScW2 (PBE, the Alexandria database).

Total DFT energy (no corrections), eV/cell: -37.240
Energy relative to the elements, meV per atom: 366
E above lowest polymorph, meV/atom: 187

Geometry as CIF:
```
data_YScW2
_chemical_formula_sum 'Y1 Sc1 W2'
_cell_length_a 3.0143
_cell_length_b 4.4597
_cell_length_c 6.2379
_cell_angle_alpha 90.00
_cell_angle_beta 101.53
_cell_angle_gamma 90.00
_space_group_name_H-M_alt 'P 1 m 1'
_space_group_IT_number 6
loop_
_space_group_symop_operation_xyz
'x,y,z'
'x,-y,z'
loop_
_atom_site_label
_atom_site_type_symbol
_atom_site_fract_x
_atom_site_fract_y
_atom_site_fract_z
_atom_site_occupancy
Y1 Y 0.0000 0.0000 0.0000 1
Sc1 Sc 0.7578 0.5000 0.3112 1
W1 W 0.3125 0.5000 0.7295 1
W2 W 0.4829 0.0000 0.5401 1
```

---

# YScW2

An optimized crystal structure of YScW2 (PBE, the Alexandria database).

Total DFT energy (no corrections), eV/cell: -74.996
Energy relative to the elements, meV per atom: 301
E above lowest polymorph, meV/atom: 123

Geometry as CIF:
```
data_YScW2
_chemical_formula_sum 'Y2 Sc2 W4'
_cell_length_a 3.4448
_cell_length_b 4.9510
_cell_length_c 9.9469
_cell_angle_alpha 90.00
_cell_angle_beta 90.00
_cell_angle_gamma 90.00
_space_group_name_H-M_alt 'I m m 2'
_space_group_IT_number 44
loop_
_space_group_symop_operation_xyz
'x,y,z'
'-x,-y,z'
'-x,y,z'
'x,-y,z'
'x+1/2,y+1/2,z+1/2'
'-x+1/2,-y+1/2,z+1/2'
'-x+1/2,y+1/2,z+1/2'
'x+1/2,-y+1/2,z+1/2'
loop_
_atom_site_label
_atom_site_type_symbol
_atom_site_fract_x
_atom_site_fract_y
_atom_site_fract_z
_atom_site_occupancy
Y1 Y 0.0000 0.0000 0.0000 1
Sc1 Sc 0.0000 0.5000 0.7735 1
W1 W 0.0000 0.0000 0.5471 1
W2 W 0.0000 0.5000 0.2298 1
```

---

# YScW2

An optimized crystal structure of YScW2 (PBE, the Alexandria database).

Total DFT energy (no corrections), eV/cell: -74.520
Energy relative to the elements, meV per atom: 361
E above lowest polymorph, meV/atom: 182

Geometry as CIF:
```
data_YScW2
_chemical_formula_sum 'Y2 Sc2 W4'
_cell_length_a 3.3557
_cell_length_b 4.9006
_cell_length_c 9.9751
_cell_angle_alpha 90.00
_cell_angle_beta 90.00
_cell_angle_gamma 90.00
_space_group_name_H-M_alt 'C m m 2'
_space_group_IT_number 35
loop_
_space_group_symop_operation_xyz
'x,y,z'
'-x,-y,z'
'-x,y,z'
'x,-y,z'
'x+1/2,y+1/2,z'
'-x+1/2,-y+1/2,z'
'-x+1/2,y+1/2,z'
'x+1/2,-y+1/2,z'
loop_
_atom_site_label
_atom_site_type_symbol
_atom_site_fract_x
_atom_site_fract_y
_atom_site_fract_z
_atom_site_occupancy
Y1 Y 0.0000 0.0000 0.0000 1
Sc1 Sc 0.0000 0.5000 0.6847 1
W1 W 0.0000 0.0000 0.4542 1
W2 W 0.0000 0.5000 0.2526 1
```

---

# YScW2

An optimized crystal structure of YScW2 (PBE, the Alexandria database).

Total DFT energy (no corrections), eV/cell: -73.114
Energy relative to the elements, meV per atom: 536
E above lowest polymorph, meV/atom: 358

Geometry as CIF:
```
data_YScW2
_chemical_formula_sum 'Y2 Sc2 W4'
_cell_length_a 5.7358
_cell_length_b 9.7789
_cell_length_c 2.8825
_cell_angle_alpha 90.00
_cell_angle_beta 104.86
_cell_angle_gamma 90.00
_space_group_name_H-M_alt 'C 1 2/m 1'
_space_group_IT_number 12
loop_
_space_group_symop_operation_xyz
'x,y,z'
'-x,-y,-z'
'-x,y,-z'
'x,-y,z'
'x+1/2,y+1/2,z'
'-x+1/2,-y+1/2,-z'
'-x+1/2,y+1/2,-z'
'x+1/2,-y+1/2,z'
loop_
_atom_site_label
_atom_site_type_symbol
_atom_site_fract_x
_atom_site_fract_y
_atom_site_fract_z
_atom_site_occupancy
Y1 Y 0.0000 0.0000 0.0000 1
Sc1 Sc 0.0000 0.5000 0.0000 1
W1 W 0.2500 0.2500 0.5000 1
```

---

# YScW

An optimized crystal structure of YScW (PBE, the Alexandria database).

Total DFT energy (no corrections), eV/cell: -98.105
Energy relative to the elements, meV per atom: 408
E above lowest polymorph, meV/atom: 113

Geometry as CIF:
```
data_YScW
_chemical_formula_sum 'Y4 Sc4 W4'
_cell_length_a 4.1032
_cell_length_b 4.4945
_cell_length_c 14.8054
_cell_angle_alpha 90.00
_cell_angle_beta 90.00
_cell_angle_gamma 90.00
_space_group_name_H-M_alt 'F m m 2'
_space_group_IT_number 42
_space_group_name_Hall 'F 2 -2'
loop_
_atom_site_label
_atom_site_type_symbol
_atom_site_fract_x
_atom_site_fract_y
_atom_site_fract_z
_atom_site_occupancy
Y1 Y 0.0000 0.0000 0.0000 1
Sc1 Sc 0.0000 0.0000 0.2918 1
W1 W 0.0000 0.0000 0.6539 1
```

---

# YScW

An optimized crystal structure of YScW (PBE, the Alexandria database).

Total DFT energy (no corrections), eV/cell: -49.634
Energy relative to the elements, meV per atom: 311
E above lowest polymorph, meV/atom: 16

Geometry as CIF:
```
data_YScW
_chemical_formula_sum 'Y2 Sc2 W2'
_cell_length_a 5.7093
_cell_length_b 4.7768
_cell_length_c 5.7635
_cell_angle_alpha 90.00
_cell_angle_beta 119.47
_cell_angle_gamma 90.00
_space_group_name_H-M_alt 'P 1 m 1'
_space_group_IT_number 6
loop_
_space_group_symop_operation_xyz
'x,y,z'
'x,-y,z'
loop_
_atom_site_label
_atom_site_type_symbol
_atom_site_fract_x
_atom_site_fract_y
_atom_site_fract_z
_atom_site_occupancy
Y1 Y 0.0000 0.0000 0.0000 1
Y2 Y 0.3107 0.0000 0.6209 1
Sc1 Sc 0.6504 0.5000 0.0148 1
Sc2 Sc 0.9443 0.5000 0.6018 1
W1 W 0.3780 0.5000 0.3089 1
W2 W 0.6188 0.0000 0.3103 1
```